Material: Pr3InTe2
Method: DFT, PBE
State: optimized geometry

a b c (Å): 4.4269 6.4214 13.9987
angles (deg): 90.00 90.00 90.00
Last column: nearest neighbours and their distance in Å.
Atoms (fractional coordinates):
Pr  0.0000  0.0000  0.0000  2 In 3.21, 4 Te 3.22
Pr  0.0000  0.0000  0.3326  4 Te 3.21, 2 In 3.22
Pr  0.0000  0.0000  0.6674  4 Te 3.21, 2 In 3.22
Pr  0.5000  0.5000  0.1674  4 Te 3.21, 2 In 3.22
Pr  0.5000  0.5000  0.5000  2 In 3.21, 4 Te 3.22
Pr  0.5000  0.5000  0.8326  4 Te 3.21, 2 In 3.22
In  0.0000  0.5000  0.0000  6 Pr 3.21-3.22
In  0.5000  0.0000  0.5000  6 Pr 3.21-3.22
Te  0.0000  0.5000  0.3330  6 Pr 3.21-3.22
Te  0.0000  0.5000  0.6670  6 Pr 3.21-3.22
Te  0.5000  0.0000  0.1670  6 Pr 3.21-3.22
Te  0.5000  0.0000  0.8330  6 Pr 3.21-3.22

Energy relative to the lowest polymorph listed for this composition   0.0 kJ per mole of atoms
Space-group type   Immm
Raw formation energy   -1133 meV/atom
Total moment   0.00 μB/cell

---

Material: CaAl2Ir
Method: DFT, PBE
State: optimized geometry

a b c (Å): 5.5528 8.6272 2.9859
angles (deg): 90.00 90.00 90.00
Last column: nearest neighbours and their distance in Å.
Atoms (fractional coordinates):
Ca  0.0000  0.0000  0.0000  2 Ir 2.78, 8 Al 2.97, 2 Ca 2.99
Ca  0.5000  0.5000  0.0000  2 Ir 2.78, 8 Al 2.97, 2 Ca 2.99
Al  0.2500  0.2500  0.5000  4 Al 2.78-2.99, 4 Ca 2.97, 4 Ir 2.97
Al  0.2500  0.7500  0.5000  4 Al 2.78-2.99, 4 Ir 2.97, 4 Ca 2.97
Al  0.7500  0.2500  0.5000  4 Al 2.78-2.99, 4 Ca 2.97, 4 Ir 2.97
Al  0.7500  0.7500  0.5000  4 Al 2.78-2.99, 4 Ca 2.97, 4 Ir 2.97
Ir  0.0000  0.5000  0.0000  2 Ca 2.78, 8 Al 2.97, 2 Ir 2.99
Ir  0.5000  0.0000  0.0000  2 Ca 2.78, 8 Al 2.97, 2 Ir 2.99

Space-group type   Cmmm
Total moment   0.00 μB/cell

---

Material: Hf2NbOs3
Method: DFT, PBE
State: optimized geometry

a b c (Å): 4.5866 13.7642 3.2062
angles (deg): 90.00 90.00 90.00
Last column: nearest neighbours and their distance in Å.
Atoms (fractional coordinates):
Hf  0.0000  0.1657  0.0000  8 Os 2.79-2.83
Hf  0.0000  0.8343  0.0000  8 Os 2.79-2.83
Hf  0.5000  0.3343  0.0000  8 Os 2.79-2.83
Hf  0.5000  0.6657  0.0000  8 Os 2.79-2.83
Nb  0.0000  0.5000  0.0000  8 Os 2.78-2.80
Nb  0.5000  0.0000  0.0000  8 Os 2.78-2.80
Os  0.0000  0.0000  0.5000  4 Hf 2.79, 4 Nb 2.80
Os  0.0000  0.3348  0.5000  2 Nb 2.78, 6 Hf 2.80-2.83
Os  0.0000  0.6652  0.5000  2 Nb 2.78, 6 Hf 2.80-2.83
Os  0.5000  0.1652  0.5000  2 Nb 2.78, 6 Hf 2.80-2.83
Os  0.5000  0.5000  0.5000  4 Hf 2.79, 4 Nb 2.80
Os  0.5000  0.8348  0.5000  2 Nb 2.78, 6 Hf 2.80-2.83

Space-group type   Cmmm
Total moment   0.00 μB/cell

---

Material: Ac2CePrN4
Method: DFT, PBE
State: optimized geometry

a b c (Å): 6.4742 3.7531 6.5448
angles (deg): 90.00 109.17 90.00
Last column: nearest neighbours and their distance in Å.
Atoms (fractional coordinates):
Ac  0.0000  0.0000  0.0000  6 N 2.70-2.71
Ac  0.5000  0.5000  0.0000  6 N 2.78-2.81
Ce  0.0000  0.5000  0.5000  6 N 2.50-2.54
Pr  0.5000  0.0000  0.5000  6 N 2.61-2.62
N  0.2318  0.0000  0.7233  2 Ce 2.54, 1 Pr 2.61, 3 Ac 2.70-2.78
N  0.2437  0.5000  0.2723  1 Ce 2.50, 2 Pr 2.62, 2 Ac 2.71
N  0.7563  0.5000  0.7277  1 Ce 2.50, 2 Pr 2.62, 2 Ac 2.71
N  0.7682  0.0000  0.2767  2 Ce 2.54, 1 Pr 2.61, 3 Ac 2.70-2.78

Space-group type   P2/m
Raw formation energy   -1213 meV/atom
Total moment   0.00 μB/cell

---

Material: CsAlGa2Te
Method: DFT, PBE
State: optimized geometry

a b c (Å): 5.7186 5.7186 7.0630
angles (deg): 90.00 90.00 90.00
Last column: nearest neighbours and their distance in Å.
Atoms (fractional coordinates):
Cs  0.0000  0.0000  0.0000  2 Te 3.53
Al  0.5000  0.5000  0.0000  4 Cs 4.04
Ga  0.0000  0.5000  0.5000  2 Te 2.86
Ga  0.5000  0.0000  0.5000  2 Te 2.86
Te  0.0000  0.0000  0.5000  4 Ga 2.86

Space-group type   P4/mmm
Raw formation energy   564 meV/atom
Total moment   0.00 μB/cell

---

Material: Tb2Y2Ho
Method: DFT, PBE
State: optimized geometry

a b c (Å): 9.2676 9.2676 3.7588
angles (deg): 90.00 90.00 90.00
Last column: nearest neighbours and their distance in Å.
Atoms (fractional coordinates):
Tb  0.1283  0.3717  0.0000  6 Y 3.24-3.37, 1 Tb 3.36
Tb  0.3717  0.8717  0.0000  6 Y 3.24-3.37, 1 Tb 3.36
Tb  0.6283  0.1283  0.0000  6 Y 3.24-3.37, 1 Tb 3.36
Tb  0.8717  0.6283  0.0000  6 Y 3.24-3.37, 1 Tb 3.36
Y  0.1704  0.6704  0.5000  6 Tb 3.24-3.37
Y  0.3296  0.1704  0.5000  6 Tb 3.24-3.37
Y  0.6704  0.8296  0.5000  6 Tb 3.24-3.37
Y  0.8296  0.3296  0.5000  6 Tb 3.24-3.37
Ho  0.0000  0.0000  0.0000  4 Tb 3.64, 2 Ho 3.76, 8 Y 3.92
Ho  0.5000  0.5000  0.0000  4 Tb 3.64, 2 Ho 3.76, 8 Y 3.92

Energy relative to the lowest polymorph listed for this composition   4.5 kJ per mole of atoms
Space-group type   P4/mbm
Total moment   0.00 μB/cell

---

Material: NaHfB3
Method: DFT, PBE
State: optimized geometry

a b c (Å): 4.1579 4.1579 4.1579
angles (deg): 90.00 90.00 90.00
Last column: nearest neighbours and their distance in Å.
Atoms (fractional coordinates):
Na  0.0000  0.0000  0.0000  6 B 2.08
Hf  0.5000  0.5000  0.5000  12 B 2.94
B  0.0000  0.0000  0.5000  2 Na 2.08
B  0.0000  0.5000  0.0000  2 Na 2.08
B  0.5000  0.0000  0.0000  2 Na 2.08

Energy relative to the lowest polymorph listed for this composition   60.0 kJ per mole of atoms
Space-group type   Pm-3m
Total moment   0.00 μB/cell

---

Material: Ho2Si5Ru3
Method: DFT, PBE
State: optimized geometry

a b c (Å): 8.2289 8.2289 8.2289
angles (deg): 108.55 85.00 140.27
Last column: nearest neighbours and their distance in Å.
Atoms (fractional coordinates):
Ho  0.1360  0.2326  0.3686  9 Si 2.96-3.25, 4 Ru 3.11-3.13
Ho  0.3640  0.7326  0.0967  9 Si 2.96-3.25, 4 Ru 3.11-3.13
Ho  0.6360  0.2674  0.9033  9 Si 2.96-3.25, 4 Ru 3.11-3.13
Ho  0.8640  0.7674  0.6314  9 Si 2.96-3.25, 4 Ru 3.11-3.13
Si  0.0426  0.7500  0.2926  3 Ru 2.43-2.52, 2 Si 2.54
Si  0.0953  0.6698  0.7651  3 Ru 2.37-2.44, 2 Si 2.54
Si  0.2500  0.2500  0.0000  4 Ru 2.43
Si  0.4047  0.1698  0.5745  3 Ru 2.37-2.44, 2 Si 2.54
Si  0.4574  0.7500  0.7074  3 Ru 2.43-2.52, 2 Si 2.54
Si  0.5426  0.2500  0.2926  3 Ru 2.43-2.52, 2 Si 2.54
Si  0.5953  0.8302  0.4255  3 Ru 2.37-2.44, 2 Si 2.54
Si  0.7500  0.7500  0.0000  4 Ru 2.43
Si  0.9047  0.3302  0.2349  3 Ru 2.37-2.44, 2 Si 2.54
Si  0.9574  0.2500  0.7074  3 Ru 2.43-2.52, 2 Si 2.54
Ru  0.1463  0.9079  0.0541  5 Si 2.37-2.43
Ru  0.2500  0.7500  0.5000  6 Si 2.44-2.52
Ru  0.3537  0.4079  0.7616  5 Si 2.37-2.43
Ru  0.6463  0.5921  0.2384  5 Si 2.37-2.43
Ru  0.7500  0.2500  0.5000  6 Si 2.44-2.52
Ru  0.8537  0.0921  0.9459  5 Si 2.37-2.43

Space-group type   Ibam
Raw formation energy   -849 meV/atom
Total moment   0.00 μB/cell

---

Material: AcThTe2
Method: DFT, PBE
State: optimized geometry

a b c (Å): 7.9000 7.9000 7.9000
angles (deg): 90.00 90.00 90.00
Last column: nearest neighbours and their distance in Å.
Atoms (fractional coordinates):
Ac  0.0000  0.0000  0.0000  8 Te 3.42
Ac  0.0000  0.5000  0.5000  8 Te 3.42
Ac  0.5000  0.0000  0.5000  8 Te 3.42
Ac  0.5000  0.5000  0.0000  8 Te 3.42
Th  0.0000  0.0000  0.5000  8 Te 3.42
Th  0.0000  0.5000  0.0000  8 Te 3.42
Th  0.5000  0.0000  0.0000  8 Te 3.42
Th  0.5000  0.5000  0.5000  8 Te 3.42
Te  0.2500  0.2500  0.2500  4 Ac 3.42, 4 Th 3.42
Te  0.2500  0.2500  0.7500  4 Ac 3.42, 4 Th 3.42
Te  0.2500  0.7500  0.2500  4 Ac 3.42, 4 Th 3.42
Te  0.2500  0.7500  0.7500  4 Ac 3.42, 4 Th 3.42
Te  0.7500  0.2500  0.2500  4 Ac 3.42, 4 Th 3.42
Te  0.7500  0.2500  0.7500  4 Ac 3.42, 4 Th 3.42
Te  0.7500  0.7500  0.2500  4 Ac 3.42, 4 Th 3.42
Te  0.7500  0.7500  0.7500  4 Th 3.42, 4 Ac 3.42

Energy relative to the lowest polymorph listed for this composition   4.7 kJ per mole of atoms
Space-group type   Fm-3m
Raw formation energy   -1179 meV/atom
Total moment   0.00 μB/cell

---

Material: TlRu2
Method: DFT, PBE
State: optimized geometry

a b c (Å): 3.7982 14.0906 3.9049
angles (deg): 90.00 90.00 90.00
Last column: nearest neighbours and their distance in Å.
Atoms (fractional coordinates):
Tl  0.0000  0.0856  0.2500  8 Ru 2.76-3.05
Tl  0.0000  0.9144  0.7500  8 Ru 2.76-3.05
Tl  0.5000  0.4144  0.7500  8 Ru 2.76-3.05
Tl  0.5000  0.5856  0.2500  8 Ru 2.76-3.05
Ru  0.0000  0.2516  0.7500  8 Ru 2.69-2.72, 2 Tl 2.98
Ru  0.0000  0.3835  0.2500  4 Ru 2.69-2.70, 4 Tl 2.76
Ru  0.0000  0.6165  0.7500  4 Ru 2.69-2.70, 4 Tl 2.76
Ru  0.0000  0.7484  0.2500  8 Ru 2.69-2.72, 2 Tl 2.98
Ru  0.5000  0.1165  0.7500  4 Ru 2.69-2.70, 4 Tl 2.76
Ru  0.5000  0.2484  0.2500  8 Ru 2.69-2.72, 2 Tl 2.98
Ru  0.5000  0.7516  0.7500  8 Ru 2.69-2.72, 2 Tl 2.98
Ru  0.5000  0.8835  0.2500  4 Ru 2.69-2.70, 4 Tl 2.76

Energy relative to the lowest polymorph listed for this composition   16.5 kJ per mole of atoms
Space-group type   Cmcm
Total moment   0.00 μB/cell

---

Material: Tl2AgTeH
Method: DFT, PBE
State: optimized geometry

a b c (Å): 6.0096 6.0096 3.5598
angles (deg): 90.00 90.00 90.00
Last column: nearest neighbours and their distance in Å.
Atoms (fractional coordinates):
Tl  0.0000  0.5000  0.0000  2 Ag 3.00
Tl  0.5000  0.0000  0.0000  2 Ag 3.00
Ag  0.0000  0.0000  0.0000  2 H 1.78
Te  0.5000  0.5000  0.5000  8 Tl 3.49, 2 Te 3.56
H  0.0000  0.0000  0.5000  2 Ag 1.78

Space-group type   P4/mmm
Total moment   0.00 μB/cell

---

| no. | Fermi-level density of states (states/eV/atom) | total DFT energy (no corrections) (eV/atom) |
| --- | --- | --- |
| 1 | 0.22 | -5.026 |
| 2 | 0.57 | -4.643 |
| 3 | 0.45 | -11.106 |
| 4 | 0.41 | -7.742 |
| 5 | 1.34 | -2.195 |
| 6 | 0.79 | -5.260 |
| 7 | 0.30 | -4.188 |
| 8 | 0.30 | -7.259 |
| 9 | 1.05 | -5.632 |
| 10 | 0.84 | -6.393 |
| 11 | 0.50 | -2.738 |